Compound: MnO2
Source: Alexandria via LeMat-Bulk
Functional: GGA+U
Structure: optimized geometry

POSCAR file:
```
MnO2
1.0
5.8357 0.0021 -0.0030
2.9108 5.0538 -0.0010
2.9249 1.6834 4.7630
Mn O
4 8
direct
0.5000 0.0000 0.5000
0.5000 0.5000 0.5000
0.5000 0.5000 0.0000
0.0000 0.5000 0.5000
0.2646 0.2651 0.7049
0.2951 0.7346 0.7354
0.2654 0.7049 0.2651
0.7354 0.7349 0.2951
0.2651 0.2646 0.2654
0.7349 0.7354 0.7346
0.7346 0.2951 0.7349
0.7049 0.2654 0.2646
```

Output
spin magnetization	12.0	Bohr magnetons per cell
space-group type	No. 70
total energy	-7.0928	eV per atom